Entry 1:
The following is a PBE calculation of a geometry-optimized BaCrAu3 structure, from Alexandria.

a = 5.0232 Å, b = 5.0232 Å, c = 5.0232 Å
α = 90.00°, β = 90.00°, γ = 90.00°
Last column: nearest neighbours and their distance in Å.
Positions (direct):
Ba 0.0000 0.0000 0.0000  12 Au 3.55
Cr 0.5000 0.5000 0.5000  6 Au 2.51
Au 0.0000 0.5000 0.5000  2 Cr 2.51
Au 0.5000 0.0000 0.5000  2 Cr 2.51
Au 0.5000 0.5000 0.0000  2 Cr 2.51

Results
Electronic total energy in Ha/atom: -0.1542
Energy of formation in eV/atom: 0.079
Magnetic moment in μB per cell: 0.000


Entry 2:
The following is a PBE calculation of a geometry-optimized BaCrAu2 structure, from Alexandria.

a = 9.8223 Å, b = 9.8223 Å, c = 9.8223 Å
α = 148.58°, β = 148.58°, γ = 45.03°
Last column: nearest neighbours and their distance in Å.
Positions (direct):
Ba 0.3750 0.6250 0.7500  8 Au 3.74, 4 Cr 3.76
Ba 0.6250 0.3750 0.2500  8 Au 3.74, 4 Cr 3.76
Cr 0.1250 0.8750 0.2500  4 Au 2.63
Cr 0.8750 0.1250 0.7500  4 Au 2.63
Au 0.0000 0.0000 0.0000  2 Cr 2.63, 2 Au 2.66
Au 0.0000 0.0000 0.5000  2 Cr 2.63, 2 Au 2.66
Au 0.0000 0.5000 0.0000  2 Cr 2.63, 2 Au 2.66
Au 0.5000 0.0000 0.5000  2 Cr 2.63, 2 Au 2.66

Results
Electronic total energy in Ha/atom: -0.1673
Energy of formation in eV/atom: -0.027
Magnetic moment in μB per cell: 8.572


Entry 3:
The following is a PBE calculation of a geometry-optimized BaCr2Au structure, from Alexandria.

a = 4.5921 Å, b = 4.5921 Å, c = 4.6693 Å
α = 90.00°, β = 90.00°, γ = 90.00°
Last column: nearest neighbours and their distance in Å.
Positions (direct):
Ba 0.0000 0.0000 0.0000  4 Au 3.25, 8 Cr 3.27
Cr 0.0000 0.5000 0.5000  4 Cr 3.25, 4 Ba 3.27, 4 Au 3.27
Cr 0.5000 0.0000 0.5000  4 Cr 3.25, 4 Ba 3.27, 4 Au 3.27
Au 0.5000 0.5000 0.0000  4 Ba 3.25, 8 Cr 3.27

Results
Electronic total energy in Ha/atom: -0.1986
Energy of formation in eV/atom: 0.707
Magnetic moment in μB per cell: 8.864


Entry 4:
The following is a PBE calculation of a geometry-optimized Ba2CrAu structure, from Alexandria.

a = 5.5502 Å, b = 5.5502 Å, c = 5.5502 Å
α = 60.00°, β = 60.00°, γ = 60.00°
Last column: nearest neighbours and their distance in Å.
Positions (direct):
Ba 0.0000 0.0000 0.0000  4 Cr 3.40, 4 Ba 3.40
Ba 0.2500 0.2500 0.2500  4 Ba 3.40, 4 Au 3.40
Cr 0.7500 0.7500 0.7500  4 Ba 3.40, 4 Au 3.40
Au 0.5000 0.5000 0.5000  4 Ba 3.40, 4 Cr 3.40

Results
Electronic total energy in Ha/atom: -0.1449
Energy of formation in eV/atom: 0.244
Magnetic moment in μB per cell: 5.276


Entry 5:
The following is a PBE calculation of a geometry-optimized BaCr2Au structure, from Alexandria.

a = 3.5339 Å, b = 3.5339 Å, c = 7.8773 Å
α = 90.00°, β = 90.00°, γ = 90.00°
Last column: nearest neighbours and their distance in Å.
Positions (direct):
Ba 0.0000 0.0000 0.0000  4 Ba 3.53, 8 Cr 3.57, 2 Au 3.94
Cr 0.5000 0.5000 0.3234  1 Cr 2.78, 4 Au 2.86
Cr 0.5000 0.5000 0.6766  1 Cr 2.78, 4 Au 2.86
Au 0.0000 0.0000 0.5000  8 Cr 2.86

Results
Electronic total energy in Ha/atom: -0.2022
Energy of formation in eV/atom: 0.610
Magnetic moment in μB per cell: 8.728


Entry 6:
The following is a PBE calculation of a geometry-optimized BaCr2Au structure, from Alexandria.

a = 3.3774 Å, b = 3.3774 Å, c = 7.8140 Å
α = 90.00°, β = 90.00°, γ = 90.00°
Last column: nearest neighbours and their distance in Å.
Positions (direct):
Ba 0.0000 0.0000 0.0000  4 Ba 3.38, 4 Au 3.38, 5 Cr 3.60-3.72
Cr 0.0000 0.0000 0.4767  4 Cr 2.60
Cr 0.5000 0.5000 0.3450  4 Cr 2.60, 1 Au 2.73
Au 0.5000 0.5000 0.6943  5 Cr 2.73-2.93

Results
Electronic total energy in Ha/atom: -0.2125
Energy of formation in eV/atom: 0.331
Magnetic moment in μB per cell: 0.080


Entry 7:
The following is a PBE calculation of a geometry-optimized BaCr4Au structure, from Alexandria.

a = 5.2170 Å, b = 5.2170 Å, c = 5.2170 Å
α = 60.00°, β = 60.00°, γ = 60.00°
Last column: nearest neighbours and their distance in Å.
Positions (direct):
Ba 0.0000 0.0000 0.0000  12 Cr 3.08, 4 Au 3.19
Cr 0.1510 0.6163 0.6163  3 Cr 2.43
Cr 0.6163 0.1510 0.6163  3 Cr 2.43
Cr 0.6163 0.6163 0.1510  3 Cr 2.43
Cr 0.6163 0.6163 0.6163  3 Cr 2.43
Au 0.2500 0.2500 0.2500  12 Cr 3.04, 4 Ba 3.19

Results
Electronic total energy in Ha/atom: -0.2315
Energy of formation in eV/atom: 0.983
Magnetic moment in μB per cell: 0.225


Entry 8:
The following is a PBE calculation of a geometry-optimized Ba2CrAu structure, from Alexandria.

a = 4.7673 Å, b = 6.7878 Å, c = 6.7878 Å
α = 42.00°, β = 90.00°, γ = 90.00°
Last column: nearest neighbours and their distance in Å.
Positions (direct):
Ba 0.0000 0.0000 0.0000  3 Cr 3.50-3.82, 4 Au 3.57
Ba 0.5000 0.2833 0.2833  3 Au 3.50-3.83, 4 Cr 3.57
Cr 0.0000 0.6987 0.6987  2 Au 2.78
Au 0.5000 0.5852 0.5852  2 Cr 2.78

Results
Electronic total energy in Ha/atom: -0.1544
Energy of formation in eV/atom: -0.015
Magnetic moment in μB per cell: 4.726


Entry 9:
The following is a PBE calculation of a geometry-optimized BaCr2Au structure, from Alexandria.

a = 6.2132 Å, b = 6.2132 Å, c = 3.7493 Å
α = 106.68°, β = 106.68°, γ = 119.14°
Last column: nearest neighbours and their distance in Å.
Positions (direct):
Ba 0.0000 0.0000 0.0000  4 Cr 3.13, 4 Au 3.15-3.25
Cr 0.0000 0.5000 0.5000  2 Ba 3.13, 2 Au 3.13, 4 Cr 3.15-3.25
Cr 0.5000 0.0000 0.5000  2 Ba 3.13, 2 Au 3.13, 4 Cr 3.15-3.25
Au 0.5000 0.5000 0.0000  4 Cr 3.13, 4 Ba 3.15-3.25

Results
Electronic total energy in Ha/atom: -0.1952
Energy of formation in eV/atom: 0.801
Magnetic moment in μB per cell: 9.168


Entry 10:
The following is a PBE calculation of a geometry-optimized BaCrAu2 structure, from Alexandria.

a = 6.2520 Å, b = 6.2520 Å, c = 6.2520 Å
α = 44.18°, β = 44.18°, γ = 44.18°
Last column: nearest neighbours and their distance in Å.
Positions (direct):
Ba 0.0000 0.0000 0.0000  8 Au 3.41-3.51
Cr 0.5000 0.5000 0.5000  6 Au 2.78
Au 0.2020 0.2020 0.2020  3 Cr 2.78, 3 Au 2.97
Au 0.7980 0.7980 0.7980  3 Cr 2.78, 3 Au 2.97

Results
Electronic total energy in Ha/atom: -0.1752
Energy of formation in eV/atom: -0.241
Magnetic moment in μB per cell: 4.421


Entry 11:
The following is a PBE calculation of a geometry-optimized Ba2CrAu structure, from Alexandria.

a = 3.9150 Å, b = 3.9150 Å, c = 9.3167 Å
α = 90.00°, β = 90.00°, γ = 90.00°
Last column: nearest neighbours and their distance in Å.
Positions (direct):
Ba 0.0000 0.0000 0.0000  1 Cr 3.16, 4 Au 3.51
Ba 0.5000 0.5000 0.4135  1 Au 3.31, 4 Cr 3.60
Cr 0.0000 0.0000 0.6611  4 Au 2.94, 1 Ba 3.16
Au 0.5000 0.5000 0.7689  4 Cr 2.94

Results
Electronic total energy in Ha/atom: -0.1490
Energy of formation in eV/atom: 0.131
Magnetic moment in μB per cell: 4.532


Entry 12:
The following is a PBE calculation of a geometry-optimized BaCr2Au structure, from Alexandria.

a = 6.2109 Å, b = 6.2109 Å, c = 6.2109 Å
α = 146.45°, β = 127.13°, γ = 64.08°
Last column: nearest neighbours and their distance in Å.
Positions (direct):
Ba 0.0000 0.0000 0.0000  4 Au 3.29, 8 Cr 3.52-3.57, 2 Ba 3.58
Cr 0.2934 0.7934 0.5000  2 Au 2.82
Cr 0.7066 0.2066 0.5000  2 Au 2.82
Au 0.5000 0.5000 0.0000  4 Cr 2.82

Results
Electronic total energy in Ha/atom: -0.2021
Energy of formation in eV/atom: 0.613
Magnetic moment in μB per cell: 9.355


Entry 13:
The following is a PBE calculation of a geometry-optimized BaCr2Au structure, from Alexandria.

a = 10.2806 Å, b = 10.2806 Å, c = 10.2806 Å
α = 153.64°, β = 153.64°, γ = 37.62°
Last column: nearest neighbours and their distance in Å.
Positions (direct):
Ba 0.3750 0.6250 0.7500  4 Au 3.31, 8 Cr 3.58
Ba 0.6250 0.3750 0.2500  4 Au 3.31, 8 Cr 3.58
Cr 0.0000 0.0000 0.0000  2 Cr 2.34
Cr 0.0000 0.0000 0.5000  2 Cr 2.34
Cr 0.0000 0.5000 0.0000  2 Cr 2.34
Cr 0.5000 0.0000 0.5000  2 Cr 2.34
Au 0.1250 0.8750 0.2500  4 Cr 2.70
Au 0.8750 0.1250 0.7500  4 Cr 2.70

Results
Electronic total energy in Ha/atom: -0.1983
Energy of formation in eV/atom: 0.716
Magnetic moment in μB per cell: 10.983


Entry 14:
The following is a PBE calculation of a geometry-optimized BaCrAu2 structure, from Alexandria.

a = 5.2065 Å, b = 5.2065 Å, c = 5.2065 Å
α = 60.00°, β = 60.00°, γ = 60.00°
Last column: nearest neighbours and their distance in Å.
Positions (direct):
Ba 0.0000 0.0000 0.0000  4 Au 3.19, 4 Cr 3.19
Cr 0.2500 0.2500 0.2500  4 Au 3.19, 4 Ba 3.19
Au 0.5000 0.5000 0.5000  4 Cr 3.19, 4 Au 3.19
Au 0.7500 0.7500 0.7500  4 Au 3.19, 4 Ba 3.19

Results
Electronic total energy in Ha/atom: -0.1604
Energy of formation in eV/atom: 0.162
Magnetic moment in μB per cell: 5.126


Entry 15:
The following is a PBE calculation of a geometry-optimized Ba2CrAu structure, from Alexandria.

a = 7.0137 Å, b = 7.0137 Å, c = 7.0137 Å
α = 145.73°, β = 134.38°, γ = 58.27°
Last column: nearest neighbours and their distance in Å.
Positions (direct):
Ba 0.0000 0.0000 0.0000  4 Au 3.47, 2 Cr 3.64, 2 Ba 3.71
Ba 0.7060 0.2060 0.5000  4 Cr 3.62, 2 Ba 3.71, 4 Au 3.77-4.03
Cr 0.3028 0.8028 0.5000  2 Au 2.73
Au 0.4486 0.4486 0.0000  2 Cr 2.73

Results
Electronic total energy in Ha/atom: -0.1506
Energy of formation in eV/atom: 0.089
Magnetic moment in μB per cell: 4.372


Entry 16:
The following is a PBE calculation of a geometry-optimized BaCrAu2 structure, from Alexandria.

a = 4.4327 Å, b = 4.9052 Å, c = 5.3908 Å
α = 90.00°, β = 90.28°, γ = 90.00°
Last column: nearest neighbours and their distance in Å.
Positions (direct):
Ba 0.0000 0.0000 0.0000  8 Au 3.43-3.56, 4 Cr 3.72-3.73
Cr 0.5036 0.5000 0.3189  4 Au 2.67-2.72
Au 0.4990 0.0000 0.5135  2 Cr 2.67, 2 Au 2.97
Au 0.4987 0.5000 0.8235  2 Cr 2.67-2.72, 2 Au 2.97

Results
Electronic total energy in Ha/atom: -0.1703
Energy of formation in eV/atom: -0.109
Magnetic moment in μB per cell: 4.692


Entry 17:
The following is a PBE calculation of a geometry-optimized BaCrAu4 structure, from Alexandria.

a = 5.7457 Å, b = 5.7457 Å, c = 5.7457 Å
α = 60.00°, β = 60.00°, γ = 60.00°
Last column: nearest neighbours and their distance in Å.
Positions (direct):
Ba 0.0000 0.0000 0.0000  12 Au 3.37, 4 Cr 3.52
Cr 0.7500 0.7500 0.7500  12 Au 3.37, 4 Ba 3.52
Au 0.3760 0.3760 0.3760  6 Au 2.85-2.90
Au 0.3760 0.3760 0.8720  6 Au 2.85-2.90
Au 0.3760 0.8720 0.3760  6 Au 2.85-2.90
Au 0.8720 0.3760 0.3760  6 Au 2.85-2.90

Results
Electronic total energy in Ha/atom: -0.1548
Energy of formation in eV/atom: -0.102
Magnetic moment in μB per cell: 5.190


Entry 18:
The following is a PBE calculation of a geometry-optimized BaCrAu structure, from Alexandria.

a = 5.2004 Å, b = 5.2004 Å, c = 5.2004 Å
α = 60.00°, β = 60.00°, γ = 60.00°
Last column: nearest neighbours and their distance in Å.
Positions (direct):
Ba 0.0000 0.0000 0.0000  4 Au 3.18
Cr 0.5000 0.5000 0.5000  4 Au 3.18
Au 0.2500 0.2500 0.2500  4 Ba 3.18, 4 Cr 3.18

Results
Electronic total energy in Ha/atom: -0.1731
Energy of formation in eV/atom: 0.230
Magnetic moment in μB per cell: 4.907


Entry 19:
The following is a PBE calculation of a geometry-optimized BaCr2Au structure, from Alexandria.

a = 5.6842 Å, b = 5.6842 Å, c = 5.6842 Å
α = 132.20°, β = 132.20°, γ = 69.91°
Last column: nearest neighbours and their distance in Å.
Positions (direct):
Ba 0.0000 0.0000 0.0000  8 Cr 3.26-3.28, 4 Au 3.28
Cr 0.2500 0.7500 0.5000  4 Au 3.26, 4 Ba 3.28, 4 Cr 3.28
Cr 0.5000 0.5000 0.0000  4 Ba 3.26, 4 Cr 3.28, 4 Au 3.28
Au 0.7500 0.2500 0.5000  8 Cr 3.26-3.28, 4 Ba 3.28

Results
Electronic total energy in Ha/atom: -0.1989
Energy of formation in eV/atom: 0.699
Magnetic moment in μB per cell: 9.163


Entry 20:
The following is a PBE calculation of a geometry-optimized Ba2CrAu structure, from Alexandria.

a = 7.4203 Å, b = 7.4203 Å, c = 7.4203 Å
α = 105.17°, β = 105.17°, γ = 118.46°
Last column: nearest neighbours and their distance in Å.
Positions (direct):
Ba 0.1027 0.6250 0.9777  2 Au 3.19, 2 Cr 3.47
Ba 0.3750 0.3527 0.4777  2 Au 3.19, 2 Cr 3.47
Ba 0.6473 0.1250 0.0223  2 Au 3.19, 2 Cr 3.47
Ba 0.8750 0.8973 0.5223  2 Au 3.19, 2 Cr 3.47
Cr 0.2500 0.7500 0.5000  4 Ba 3.47, 2 Au 3.80
Cr 0.5000 0.5000 0.0000  4 Ba 3.47, 2 Au 3.80
Au 0.0000 0.0000 0.0000  4 Ba 3.19
Au 0.7500 0.2500 0.5000  4 Ba 3.19

Results
Electronic total energy in Ha/atom: -0.1420
Energy of formation in eV/atom: 0.324
Magnetic moment in μB per cell: 9.086